Entry 1:
! MnZnRe meta-GGA SCAN single point on PBEsol structure; values from VASP
! Crystal system: cubic
! ΔH_f (0 K) (kJ/mol of atoms): 37
! E above lowest polymorph (meV/atom): 348
&SYSTEM
  ibrav = 0, nat = 3, ntyp = 3
/
ATOMIC_SPECIES
Mn 54.94 Mn.upf
Zn 65.41 Zn.upf
Re 186.21 Re.upf
ATOMIC_POSITIONS angstrom
Mn 0.000 0.000 0.000
Zn 1.403 1.403 1.403
Re 4.209 4.209 4.209
CELL_PARAMETERS angstrom
0.000 2.806 2.806
2.806 0.000 2.806
2.806 2.806 0.000

Entry 2:
! Mn2ZnRe meta-GGA SCAN single point on PBEsol structure; values from VASP
! Crystal system: cubic
! ΔH_f (0 K) (kJ/mol of atoms): -2
&SYSTEM
  ibrav = 0, nat = 4, ntyp = 3
/
ATOMIC_SPECIES
Mn 54.94 Mn.upf
Zn 65.41 Zn.upf
Re 186.21 Re.upf
ATOMIC_POSITIONS angstrom
Mn 0.000 0.000 0.000
Mn 1.474 1.474 1.474
Zn 4.422 4.422 4.422
Re 2.948 2.948 2.948
CELL_PARAMETERS angstrom
0.000 2.948 2.948
2.948 0.000 2.948
2.948 2.948 0.000

Entry 3:
! MnZnRe2 meta-GGA SCAN single point on PBEsol structure; values from VASP
! Crystal system: orthorhombic
! ΔH_f (0 K) (kJ/mol of atoms): 8
&SYSTEM
  ibrav = 0, nat = 4, ntyp = 3
/
ATOMIC_SPECIES
Mn 54.94 Mn.upf
Zn 65.41 Zn.upf
Re 186.21 Re.upf
ATOMIC_POSITIONS angstrom
Mn 0.000 0.000 0.000
Zn 1.524 0.000 2.027
Re 0.000 0.000 4.251
Re 1.524 0.000 6.463
CELL_PARAMETERS angstrom
1.524 -2.146 0.000
1.524 2.146 0.000
0.000 0.000 8.420

Entry 4:
! MnZnRe2 meta-GGA SCAN single point on PBEsol structure; values from VASP
! Crystal system: orthorhombic
! ΔH_f (0 K) (kJ/mol of atoms): 5
&SYSTEM
  ibrav = 0, nat = 4, ntyp = 3
/
ATOMIC_SPECIES
Mn 54.94 Mn.upf
Zn 65.41 Zn.upf
Re 186.21 Re.upf
ATOMIC_POSITIONS angstrom
Mn 0.000 0.000 0.000
Zn 0.000 0.000 4.172
Re 1.531 0.000 2.030
Re 0.000 2.104 2.142
CELL_PARAMETERS angstrom
-1.531 2.104 4.172
1.531 -2.104 4.172
1.531 2.104 -4.172

Entry 5:
! MnZnRe meta-GGA SCAN single point on PBEsol structure; values from VASP
! Crystal system: trigonal
! ΔH_f (0 K) (kJ/mol of atoms): 3
! E above lowest polymorph (meV/atom): 0
&SYSTEM
  ibrav = 0, nat = 3, ntyp = 3
/
ATOMIC_SPECIES
Mn 54.94 Mn.upf
Zn 65.41 Zn.upf
Re 186.21 Re.upf
ATOMIC_POSITIONS angstrom
Mn 0.000 0.000 0.000
Zn 2.076 1.199 1.837
Re 0.000 2.398 0.699
CELL_PARAMETERS angstrom
4.153 0.000 0.000
-2.076 3.596 0.000
0.000 0.000 2.592

Entry 6:
! ZrMn4Re meta-GGA SCAN single point on PBEsol structure; values from VASP
! Crystal system: cubic
! ΔH_f (0 K) (kJ/mol of atoms): 1
&SYSTEM
  ibrav = 0, nat = 6, ntyp = 3
/
ATOMIC_SPECIES
Zr 91.22 Zr.upf
Mn 54.94 Mn.upf
Re 186.21 Re.upf
ATOMIC_POSITIONS angstrom
Zr 0.000 0.000 0.000
Mn 2.507 2.507 2.507
Mn 4.205 4.205 2.507
Mn 4.205 2.507 4.205
Mn 2.507 4.205 4.205
Re 5.034 5.034 5.034
CELL_PARAMETERS angstrom
0.000 3.356 3.356
3.356 0.000 3.356
3.356 3.356 0.000

Entry 7:
! ZrMnRe2 meta-GGA SCAN single point on PBEsol structure; values from VASP
! Crystal system: monoclinic
! ΔH_f (0 K) (kJ/mol of atoms): 2
! E above lowest polymorph (meV/atom): 0
&SYSTEM
  ibrav = 0, nat = 4, ntyp = 3
/
ATOMIC_SPECIES
Zr 91.22 Zr.upf
Mn 54.94 Mn.upf
Re 186.21 Re.upf
ATOMIC_POSITIONS angstrom
Zr 0.000 0.000 0.000
Mn 4.088 0.000 2.136
Re 1.053 0.000 3.049
Re 7.123 0.000 1.223
CELL_PARAMETERS angstrom
4.867 -1.451 0.000
4.867 1.451 0.000
-1.559 0.000 4.272

Entry 8:
! ZrMnRe2 meta-GGA SCAN single point on PBEsol structure; values from VASP
! Crystal system: cubic
! ΔH_f (0 K) (kJ/mol of atoms): 3
! E above lowest polymorph (meV/atom): 5
&SYSTEM
  ibrav = 0, nat = 4, ntyp = 3
/
ATOMIC_SPECIES
Zr 91.22 Zr.upf
Mn 54.94 Mn.upf
Re 186.21 Re.upf
ATOMIC_POSITIONS angstrom
Zr 0.000 0.000 0.000
Mn 3.110 3.110 3.110
Re 1.555 1.555 1.555
Re 4.664 4.664 4.664
CELL_PARAMETERS angstrom
0.000 3.110 3.110
3.110 0.000 3.110
3.110 3.110 0.000

Entry 9:
! MnRh5 meta-GGA SCAN single point on PBEsol structure; values from VASP
! Crystal system: orthorhombic
! ΔH_f (0 K) (kJ/mol of atoms): -12
&SYSTEM
  ibrav = 0, nat = 6, ntyp = 2
/
ATOMIC_SPECIES
Mn 54.94 Mn.upf
Rh 102.91 Rh.upf
ATOMIC_POSITIONS angstrom
Mn 0.000 0.000 0.000
Rh 0.000 0.000 4.665
Rh 0.000 0.000 9.165
Rh 2.131 0.000 3.066
Rh 2.131 0.000 7.634
Rh 2.131 0.000 12.283
CELL_PARAMETERS angstrom
4.263 0.000 0.000
0.000 1.344 6.898
0.000 -1.344 6.898

Entry 10:
! Mn2Rh meta-GGA SCAN single point on PBEsol structure; values from VASP
! Crystal system: hexagonal
! ΔH_f (0 K) (kJ/mol of atoms): 11
&SYSTEM
  ibrav = 0, nat = 3, ntyp = 2
/
ATOMIC_SPECIES
Mn 54.94 Mn.upf
Rh 102.91 Rh.upf
ATOMIC_POSITIONS angstrom
Mn 0.000 2.269 0.000
Mn 1.965 1.134 0.000
Rh 0.000 0.000 1.283
CELL_PARAMETERS angstrom
3.930 0.000 0.000
-1.965 3.403 0.000
0.000 0.000 2.567

Entry 11:
! MnRh2 meta-GGA SCAN single point on PBEsol structure; values from VASP
! Crystal system: monoclinic
! ΔH_f (0 K) (kJ/mol of atoms): 3
! E above lowest polymorph (meV/atom): 311
&SYSTEM
  ibrav = 0, nat = 6, ntyp = 2
/
ATOMIC_SPECIES
Mn 54.94 Mn.upf
Rh 102.91 Rh.upf
ATOMIC_POSITIONS angstrom
Mn -0.188 0.000 1.853
Mn 8.248 0.000 4.092
Rh 2.473 0.000 2.193
Rh 2.055 0.000 5.761
Rh 6.005 0.000 0.185
Rh 5.587 0.000 3.752
CELL_PARAMETERS angstrom
4.765 -1.316 0.000
4.765 1.316 0.000
-1.469 0.000 5.946

Entry 12:
! MnRh5 meta-GGA SCAN single point on PBEsol structure; values from VASP
! Crystal system: tetragonal
! ΔH_f (0 K) (kJ/mol of atoms): -9
&SYSTEM
  ibrav = 0, nat = 6, ntyp = 2
/
ATOMIC_SPECIES
Mn 54.94 Mn.upf
Rh 102.91 Rh.upf
ATOMIC_POSITIONS angstrom
Mn 0.000 0.000 0.000
Rh 0.000 0.000 3.685
Rh 0.000 0.000 7.452
Rh 1.323 1.323 1.725
Rh 1.323 1.323 5.568
Rh 1.323 1.323 9.411
CELL_PARAMETERS angstrom
2.646 0.000 0.000
0.000 2.646 0.000
0.000 0.000 11.137

Entry 13:
! MnRh2 meta-GGA SCAN single point on PBEsol structure; values from VASP
! Crystal system: orthorhombic
! ΔH_f (0 K) (kJ/mol of atoms): -26
! E above lowest polymorph (meV/atom): 17
&SYSTEM
  ibrav = 0, nat = 6, ntyp = 2
/
ATOMIC_SPECIES
Mn 54.94 Mn.upf
Rh 102.91 Rh.upf
ATOMIC_POSITIONS angstrom
Mn 1.833 4.657 2.813
Mn 1.833 -4.657 0.938
Rh 1.833 2.820 0.938
Rh 1.833 0.926 2.813
Rh 1.833 -0.926 0.938
Rh 1.833 -2.820 2.813
CELL_PARAMETERS angstrom
1.833 -5.645 0.000
1.833 5.645 0.000
0.000 0.000 3.751

Entry 14:
! MnRh2 meta-GGA SCAN single point on PBEsol structure; values from VASP
! Crystal system: orthorhombic
! ΔH_f (0 K) (kJ/mol of atoms): -27
! E above lowest polymorph (meV/atom): 0
&SYSTEM
  ibrav = 0, nat = 12, ntyp = 2
/
ATOMIC_SPECIES
Mn 54.94 Mn.upf
Rh 102.91 Rh.upf
ATOMIC_POSITIONS angstrom
Mn 0.746 0.941 0.732
Mn 1.880 2.822 4.673
Mn 3.372 0.941 3.208
Mn 4.506 2.822 7.149
Rh 0.546 0.941 5.980
Rh 0.736 0.941 3.330
Rh 1.890 2.822 7.270
Rh 2.081 2.822 2.039
Rh 3.172 0.941 5.842
Rh 3.362 0.941 0.611
Rh 4.516 2.822 4.552
Rh 4.707 2.822 1.902
CELL_PARAMETERS angstrom
5.252 0.000 0.000
0.000 3.763 0.000
0.000 0.000 7.881

Entry 15:
! MnRh meta-GGA SCAN single point on PBEsol structure; values from VASP
! Crystal system: cubic
! ΔH_f (0 K) (kJ/mol of atoms): -10
&SYSTEM
  ibrav = 0, nat = 4, ntyp = 2
/
ATOMIC_SPECIES
Mn 54.94 Mn.upf
Rh 102.91 Rh.upf
ATOMIC_POSITIONS angstrom
Mn 0.743 0.743 0.743
Mn 5.201 5.201 5.201
Rh 2.229 2.229 2.229
Rh 3.715 3.715 3.715
CELL_PARAMETERS angstrom
0.000 2.972 2.972
2.972 0.000 2.972
2.972 2.972 0.000

Entry 16:
! Mn3Rh meta-GGA SCAN single point on PBEsol structure; values from VASP
! Crystal system: tetragonal
! ΔH_f (0 K) (kJ/mol of atoms): -27
&SYSTEM
  ibrav = 0, nat = 4, ntyp = 2
/
ATOMIC_SPECIES
Mn 54.94 Mn.upf
Rh 102.91 Rh.upf
ATOMIC_POSITIONS angstrom
Mn 0.000 0.000 0.000
Mn 1.439 1.439 1.365
Mn 1.439 1.439 4.477
Rh 0.000 0.000 2.921
CELL_PARAMETERS angstrom
2.878 0.000 0.000
0.000 2.878 0.000
0.000 0.000 5.842

Entry 17:
! Mn2Rh3 meta-GGA SCAN single point on PBEsol structure; values from VASP
! Crystal system: trigonal
! ΔH_f (0 K) (kJ/mol of atoms): -6
&SYSTEM
  ibrav = 0, nat = 5, ntyp = 2
/
ATOMIC_SPECIES
Mn 54.94 Mn.upf
Rh 102.91 Rh.upf
ATOMIC_POSITIONS angstrom
Mn 0.000 2.327 1.634
Mn 2.015 1.164 3.384
Rh 0.000 0.000 2.509
Rh 0.000 2.327 4.222
Rh 2.015 1.164 0.796
CELL_PARAMETERS angstrom
4.031 0.000 0.000
-2.015 3.491 0.000
0.000 0.000 5.017

Entry 18:
! Mn3Rh meta-GGA SCAN single point on PBEsol structure; values from VASP
! Crystal system: orthorhombic
! ΔH_f (0 K) (kJ/mol of atoms): 11
&SYSTEM
  ibrav = 0, nat = 4, ntyp = 2
/
ATOMIC_SPECIES
Mn 54.94 Mn.upf
Rh 102.91 Rh.upf
ATOMIC_POSITIONS angstrom
Mn 0.000 0.000 0.000
Mn 1.353 0.000 1.932
Mn 0.000 2.070 2.194
Rh 0.000 0.000 4.126
CELL_PARAMETERS angstrom
-1.353 2.070 4.126
1.353 -2.070 4.126
1.353 2.070 -4.126

Entry 19:
! Mn5Rh3 meta-GGA SCAN single point on PBEsol structure; values from VASP
! Crystal system: orthorhombic
! ΔH_f (0 K) (kJ/mol of atoms): -50
&SYSTEM
  ibrav = 0, nat = 8, ntyp = 2
/
ATOMIC_SPECIES
Mn 54.94 Mn.upf
Rh 102.91 Rh.upf
ATOMIC_POSITIONS angstrom
Mn 0.000 0.000 0.000
Mn 1.516 2.081 0.000
Mn 1.513 0.000 2.074
Mn 1.516 -2.081 0.000
Mn 4.550 0.000 2.074
Rh 3.031 2.107 2.074
Rh 3.031 0.000 0.000
Rh 3.031 -2.107 2.074
CELL_PARAMETERS angstrom
3.031 -4.161 0.000
3.031 4.161 0.000
0.000 0.000 4.149

Entry 20:
! MnRh2 meta-GGA SCAN single point on PBEsol structure; values from VASP
! Crystal system: tetragonal
! ΔH_f (0 K) (kJ/mol of atoms): -16
! E above lowest polymorph (meV/atom): 113
&SYSTEM
  ibrav = 0, nat = 3, ntyp = 2
/
ATOMIC_SPECIES
Mn 54.94 Mn.upf
Rh 102.91 Rh.upf
ATOMIC_POSITIONS angstrom
Mn 0.000 0.000 0.000
Rh 0.000 0.000 3.725
Rh 0.000 0.000 7.162
CELL_PARAMETERS angstrom
-1.312 1.312 5.444
1.312 -1.312 5.444
1.312 1.312 -5.444

Entry 21:
! MnRh2 meta-GGA SCAN single point on PBEsol structure; values from VASP
! Crystal system: tetragonal
! ΔH_f (0 K) (kJ/mol of atoms): -27
! E above lowest polymorph (meV/atom): 5
&SYSTEM
  ibrav = 0, nat = 12, ntyp = 2
/
ATOMIC_SPECIES
Mn 54.94 Mn.upf
Rh 102.91 Rh.upf
ATOMIC_POSITIONS angstrom
Mn 1.852 0.926 1.008
Mn 1.852 0.926 4.669
Mn 0.000 0.926 6.685
Mn 0.000 0.926 10.346
Rh 1.852 -0.926 6.611
Rh 1.852 0.926 -2.838
Rh 1.852 -0.926 10.420
Rh 0.000 0.926 2.839
Rh 1.852 0.926 8.515
Rh 0.000 2.779 0.934
Rh 0.000 0.926 14.192
Rh 0.000 2.779 4.743
CELL_PARAMETERS angstrom
-1.852 1.852 11.354
1.852 -1.852 11.354
1.852 1.852 -11.354

Entry 22:
! MnRh meta-GGA SCAN single point on PBEsol structure; values from VASP
! Crystal system: hexagonal
! ΔH_f (0 K) (kJ/mol of atoms): -5
&SYSTEM
  ibrav = 0, nat = 4, ntyp = 2
/
ATOMIC_SPECIES
Mn 54.94 Mn.upf
Rh 102.91 Rh.upf
ATOMIC_POSITIONS angstrom
Mn 0.000 0.000 0.000
Mn 0.000 0.000 4.111
Rh 0.000 1.498 2.056
Rh 1.297 0.749 6.167
CELL_PARAMETERS angstrom
2.594 0.000 0.000
-1.297 2.247 0.000
0.000 0.000 8.222

Entry 23:
! MnRh meta-GGA SCAN single point on PBEsol structure; values from VASP
! Crystal system: cubic
! ΔH_f (0 K) (kJ/mol of atoms): -51
&SYSTEM
  ibrav = 0, nat = 2, ntyp = 2
/
ATOMIC_SPECIES
Mn 54.94 Mn.upf
Rh 102.91 Rh.upf
ATOMIC_POSITIONS angstrom
Mn 0.000 0.000 0.000
Rh 1.491 1.491 1.491
CELL_PARAMETERS angstrom
2.983 0.000 0.000
0.000 2.983 0.000
0.000 0.000 2.983

Entry 24:
! MnRh2 meta-GGA SCAN single point on PBEsol structure; values from VASP
! Crystal system: hexagonal
! ΔH_f (0 K) (kJ/mol of atoms): -11
! E above lowest polymorph (meV/atom): 166
&SYSTEM
  ibrav = 0, nat = 3, ntyp = 2
/
ATOMIC_SPECIES
Mn 54.94 Mn.upf
Rh 102.91 Rh.upf
ATOMIC_POSITIONS angstrom
Mn 0.000 0.000 0.000
Rh 0.000 2.458 1.333
Rh 2.128 1.229 1.333
CELL_PARAMETERS angstrom
4.257 0.000 0.000
-2.128 3.686 0.000
0.000 0.000 2.665

Entry 25:
! MnRuRh2 meta-GGA SCAN single point on PBEsol structure; values from VASP
! Crystal system: trigonal
! ΔH_f (0 K) (kJ/mol of atoms): -3
&SYSTEM
  ibrav = 0, nat = 4, ntyp = 3
/
ATOMIC_SPECIES
Mn 54.94 Mn.upf
Ru 101.07 Ru.upf
Rh 102.91 Rh.upf
ATOMIC_POSITIONS angstrom
Mn 0.000 0.000 0.000
Ru 0.000 0.000 12.788
Rh 0.000 0.000 6.470
Rh 0.000 0.000 19.106
CELL_PARAMETERS angstrom
1.315 0.759 8.525
-1.315 0.759 8.525
0.000 -1.518 8.525

Entry 26:
! MnRh2S2 meta-GGA SCAN single point on PBEsol structure; values from VASP
! Crystal system: tetragonal
&SYSTEM
  ibrav = 0, nat = 5, ntyp = 3
/
ATOMIC_SPECIES
Mn 54.94 Mn.upf
Rh 102.91 Rh.upf
S 32.06 S.upf
ATOMIC_POSITIONS angstrom
Mn 0.000 0.000 0.000
Rh 1.898 0.000 2.661
Rh 0.000 1.898 2.661
S 0.000 0.000 4.046
S 0.000 0.000 6.597
CELL_PARAMETERS angstrom
-1.898 1.898 5.322
1.898 -1.898 5.322
1.898 1.898 -5.322

Entry 27:
! MnSbRh3 meta-GGA SCAN single point on PBEsol structure; values from VASP
! Crystal system: cubic
&SYSTEM
  ibrav = 0, nat = 5, ntyp = 3
/
ATOMIC_SPECIES
Mn 54.94 Mn.upf
Sb 121.76 Sb.upf
Rh 102.91 Rh.upf
ATOMIC_POSITIONS angstrom
Mn 0.000 0.000 0.000
Sb 2.356 2.356 2.356
Rh 0.000 2.356 2.356
Rh 2.356 0.000 2.356
Rh 2.356 2.356 0.000
CELL_PARAMETERS angstrom
4.712 0.000 0.000
0.000 4.712 0.000
0.000 0.000 4.712

Entry 28:
! MnSbRh meta-GGA SCAN single point on PBEsol structure; values from VASP
! Crystal system: trigonal
&SYSTEM
  ibrav = 0, nat = 3, ntyp = 3
/
ATOMIC_SPECIES
Mn 54.94 Mn.upf
Sb 121.76 Sb.upf
Rh 102.91 Rh.upf
ATOMIC_POSITIONS angstrom
Mn 0.000 0.000 0.000
Sb 0.000 1.811 2.178
Rh 1.569 0.906 4.192
CELL_PARAMETERS angstrom
3.137 0.000 0.000
-1.569 2.717 0.000
0.000 0.000 5.989

Entry 29:
! MnSbRh meta-GGA SCAN single point on PBEsol structure; values from VASP
! Crystal system: cubic
&SYSTEM
  ibrav = 0, nat = 3, ntyp = 3
/
ATOMIC_SPECIES
Mn 54.94 Mn.upf
Sb 121.76 Sb.upf
Rh 102.91 Rh.upf
ATOMIC_POSITIONS angstrom
Mn 0.000 0.000 0.000
Sb 3.000 3.000 3.000
Rh 1.500 1.500 1.500
CELL_PARAMETERS angstrom
0.000 3.000 3.000
3.000 0.000 3.000
3.000 3.000 0.000

Computed DFT total energy (eV/atom) in order:
-33.910, -30.297, -43.405, -43.444, -34.259, -29.131, -47.765, -47.760, -31.307, -23.313, -28.572, -31.284, -28.865, -28.882, -26.115, -22.417, -27.625, -22.015, -24.590, -28.770, -28.878, -26.065, -26.542, -28.717, -30.188, -21.061, -30.588, -29.828, -30.322
Computed magnetization (μB/f.u.) in order:
1.82, 4.98, 2.91, 2.46, 1.68, 0.00, 0.79, 1.89, 2.08, 0.00, 0.00, 2.83, 3.13, 3.23, 4.50, 6.09, 6.77, 7.14, 13.40, 2.84, 2.92, 3.34, 4.14, 4.32, 3.34, 4.41, 5.05, 4.53, 3.65